First-principles (PBE with a Hubbard U) data for an optimized crystal structure of CsV3F, as listed in Alexandria via LeMat-Bulk.

Geometry as POSCAR:
```
CsV3F
1.0
5.072 0.000 0.000
0.000 5.072 0.000
0.000 0.000 5.072
V F Cs
3 1 1
Direct
0.000 0.000 0.500
0.000 0.500 0.000
0.500 0.000 0.000
0.000 0.000 0.000
0.500 0.500 0.500
```

## Properties
- DFT total energy: -4.053 eV/atom
- Energy above the most stable polymorph in this dataset: 0 meV/atom
- Fermi-level density of states: 1.16 states/eV/cell
- Space group: No. 221